## Pu4HgPd2Ru (PBE)

Data for an optimized crystal structure of Pu4HgPd2Ru.

a b c (Å): 5.078 5.078 8.520
angles (deg): 72.66 72.66 60.00
Fractional positions:
Pu (0.388, 0.388, 0.835)
Pu (0.862, 0.862, 0.413)
Pu (0.138, 0.138, 0.587)
Pu (0.612, 0.612, 0.165)
Hg (0.000, 0.000, 0.000)
Pd (0.736, 0.736, 0.791)
Pd (0.264, 0.264, 0.209)
Ru (0.500, 0.500, 0.500)

Values from the calculation:
Final energy in eV/cell: -79.193
Symmetry: No. 166



## PuHgSbPd (PBE)

Data for an optimized crystal structure of PuHgSbPd.

a b c (Å): 5.038 5.038 5.038
angles (deg): 60.00 60.00 60.00
Fractional positions:
Sb (0.750, 0.750, 0.750)
Hg (0.250, 0.250, 0.250)
Pd (0.000, 0.000, 0.000)
Pu (0.500, 0.500, 0.500)

Values from the calculation:
ΔE_f (raw) in meV per atom: -326
Final energy in eV/cell: -25.253
Symmetry: No. 216